(1)
## HgAs2Rh (SCAN)

Data for a PBEsol-optimized structure of HgAs2Rh.

```
HgAs2Rh
1.0
-0.851 2.717 -0.554
-0.555 -1.103 -4.554
-4.405 -2.210 3.517
As Hg Rh
2 1 1
Direct
0.693 0.693 0.386
0.307 0.307 0.614
0.500 0.000 0.000
0.000 0.500 0.000
```

Calculated values
- mass density (g/cm3) = 10.22

***

(2)
## HgAsRh2 (SCAN)

Data for a PBEsol-optimized structure of HgAsRh2.

```
HgAsRh2
1.0
3.428 0.000 0.000
0.000 2.993 -0.340
-1.714 -0.762 6.709
Hg Rh As
1 2 1
Direct
0.801 0.301 0.602
0.980 0.980 0.960
0.171 0.670 0.342
0.548 0.549 0.096
```

Calculated values
- mass density (g/cm3) = 11.76

***

(3)
## HgAsRu2 (SCAN)

Data for a PBEsol-optimized structure of HgAsRu2.

```
HgAsRu2
1.0
-2.177 -1.482 -1.329
2.128 -3.206 0.090
-1.055 -0.543 5.583
Ru Hg As
2 1 1
Direct
0.645 0.000 0.785
0.355 0.000 0.215
0.000 0.500 0.500
0.500 0.500 0.000
```

Calculated values
- mass density (g/cm3) = 12.66
- ΔE to the lowest computed polymorph (meV/atom) = 128.1

***

(4)
## HgAsRu (SCAN)

Data for a PBEsol-optimized structure of HgAsRu.

```
HgAsRu
1.0
-2.626 0.124 -1.559
0.434 -2.186 2.090
-2.581 3.943 4.660
Hg Ru As
1 1 1
Direct
0.667 0.333 0.644
0.333 0.667 0.301
0.000 0.000 0.055
```

Calculated values
- mass density (g/cm3) = 11.67

***

(5)
## Hg2AsRu (SCAN)

Data for a PBEsol-optimized structure of Hg2AsRu.

```
Hg2AsRu
1.0
-0.433 -0.208 -2.917
0.998 -2.358 -1.478
-8.275 -5.431 0.119
As Hg Ru
1 2 1
Direct
0.000 0.000 0.000
0.757 0.757 0.730
0.243 0.243 0.270
0.500 0.500 0.500
```

Calculated values
- mass density (g/cm3) = 12.99

***

(6)
## HgAsRu2 (SCAN)

Data for a PBEsol-optimized structure of HgAsRu2.

```
HgAsRu2
1.0
4.408 0.000 0.000
2.204 3.817 0.000
2.204 1.272 3.599
As Ru Hg
1 2 1
Direct
0.500 0.500 0.500
0.750 0.750 0.750
0.250 0.250 0.250
0.000 0.000 0.000
```

Calculated values
- mass density (g/cm3) = 13.10
- ΔE to the lowest computed polymorph (meV/atom) = 263.2

***

DFT formation energy, respectively: -0.03, -0.19, 0.26, 0.04, 0.61, 0.39 eV per atom.